[1]
VASP calculation (PBE) on a relaxed Nd2CdGe crystal.

```
data_Nd2CdGe
_chemical_formula_sum 'Nd6 Cd3 Ge3'
_cell_length_a 4.3978
_cell_length_b 4.3978
_cell_length_c 22.2608
_cell_angle_alpha 90.00
_cell_angle_beta 90.00
_cell_angle_gamma 120.00
_space_group_name_H-M_alt 'R -3 m'
_space_group_IT_number 166
_space_group_name_Hall '-R 3 2"'
loop_
_atom_site_label
_atom_site_type_symbol
_atom_site_fract_x
_atom_site_fract_y
_atom_site_fract_z
Nd1 Nd 0.0000 0.0000 0.2360
Cd1 Cd 0.0000 0.0000 0.0000
Ge1 Ge 0.0000 0.0000 0.5000
```

**Final energy**: -4.209 eV/atom



[2]
VASP calculation (PBE) on a relaxed Nd7CdGe5 crystal.

```
data_Nd7CdGe5
_chemical_formula_sum 'Nd14 Cd2 Ge10'
_cell_length_a 6.2649
_cell_length_b 11.1574
_cell_length_c 10.2222
_cell_angle_alpha 90.00
_cell_angle_beta 90.00
_cell_angle_gamma 90.00
_space_group_name_H-M_alt 'I m m 2'
_space_group_IT_number 44
loop_
_space_group_symop_operation_xyz
'x,y,z'
'-x,-y,z'
'-x,y,z'
'x,-y,z'
'x+1/2,y+1/2,z+1/2'
'-x+1/2,-y+1/2,z+1/2'
'-x+1/2,y+1/2,z+1/2'
'x+1/2,-y+1/2,z+1/2'
loop_
_atom_site_label
_atom_site_type_symbol
_atom_site_fract_x
_atom_site_fract_y
_atom_site_fract_z
Nd1 Nd 0.0000 0.0000 0.0000
Nd2 Nd 0.0000 0.0000 0.3787
Nd3 Nd 0.0000 0.3193 0.6777
Nd4 Nd 0.0000 0.3312 0.1172
Nd5 Nd 0.0000 0.5000 0.3641
Cd1 Cd 0.0000 0.0000 0.6884
Ge1 Ge 0.0000 0.5000 0.8891
Ge2 Ge 0.2122 0.2614 0.4059
```

**Final energy**: -4.911 eV/atom



[3]
VASP calculation (PBE) on a relaxed NdCd2Ge crystal.

```
data_NdCd2Ge
_chemical_formula_sum 'Nd1 Cd2 Ge1'
_cell_length_a 4.3715
_cell_length_b 4.3715
_cell_length_c 4.9622
_cell_angle_alpha 90.00
_cell_angle_beta 90.00
_cell_angle_gamma 90.00
_space_group_name_H-M_alt 'P 4/m m m'
_space_group_IT_number 123
_space_group_name_Hall '-P 4 2'
loop_
_atom_site_label
_atom_site_type_symbol
_atom_site_fract_x
_atom_site_fract_y
_atom_site_fract_z
Nd1 Nd 0.0000 0.0000 0.0000
Cd1 Cd 0.0000 0.5000 0.5000
Ge1 Ge 0.5000 0.5000 0.0000
```

**Final energy**: -3.211 eV/atom
**Distance to the lowest polymorph of the same formula**: 0 meV/atom



For the records above, the corresponding calculated formation energy values read -442, -498, -407 meV/atom.